# 1
VASP calculation (PBE) on LiAcInAg3 after structural relaxation.

It has space group Cmcm (No. 63), with a = 6.151 Å, b = 13.263 Å, c = 6.820 Å, α = 90.00°, β = 90.00° and γ = 90.00°. The inequivalent atoms are Li at (0.000, 0.073, 0.250), Ac at (0.000, 0.305, 0.250), In at (0.000, 0.357, 0.750), Ag at (0.000, 0.137, 0.750) and Ag at (0.236, 0.500, 0.000).

The calculated volume is 556.37 Å³ per cell. The value obtained for the formation energy is -4.10 kcal/mol of atoms. The calculation puts the magnetic moment at 0.00 Bohr magnetons per cell. The calculation puts the density at 8.03 g cm⁻³.

# 2
VASP calculation (PBE) on Li2AcIn2Ag2 after structural relaxation.

It has space group R-3m (No. 166, hexagonal axes), with a = 4.6749 Å, b = 4.6749 Å, c = 26.3184 Å, α = 90.00°, β = 90.00° and γ = 120.00°. The inequivalent atoms are Li at (0.0000, 0.0000, 0.1426), Ac at (0.0000, 0.0000, 0.0000), In at (0.0000, 0.0000, 0.2517) and Ag at (0.0000, 0.0000, 0.4445).

The calculated volume is 498.13 Å³ per cell. The value obtained for the formation energy is -6.09 kcal/mol of atoms. The calculation puts the magnetic moment at 0.00 Bohr magnetons per cell. The calculation puts the density at 6.86 g cm⁻³.